# 1
La3Mg7In4: relaxed, PBE-GGA.

The spin magnetization is 0.000 μB per atom. The calculation puts the formation energy at -7.319 kcal/mol of atoms. The calculation puts the density of states at the Fermi level at 12.73 states/eV per cell. Its total energy is -2.953 eV per atom.

The structure belongs to space group C2/m (No. 12); the cell edges are 17.746, 4.866 and 10.639 Å and the angles 90.00°, 126.12° and 90.00°. Symmetry generates all atoms from La at (0.000, 0.000, 0.000), La at (0.204, 0.500, 0.711), Mg at (0.000, 0.000, 0.500), Mg at (0.004, 0.500, 0.318), Mg at (0.154, 0.000, 0.430), Mg at (0.164, 0.500, 0.016), In at (0.131, 0.000, 0.847) and In at (0.149, 0.500, 0.269).



# 2
Sm2Zn16Ni: relaxed, PBE-GGA.

The spin magnetization is 0.000 μB per atom. The calculation puts the formation energy at -5.775 kcal/mol of atoms. The calculation puts the density of states at the Fermi level at 23.20 states/eV per cell. Its total energy is -2.124 eV per atom.

The structure belongs to space group R3m (No. 160, hexagonal axes); the cell edges are 8.9796, 8.9796 and 13.1819 Å and the angles 90.00°, 90.00° and 120.00°. Symmetry generates all atoms from Sm at (0.0000, 0.0000, 0.0000), Sm at (0.0000, 0.0000, 0.3311), Zn at (0.0000, 0.0000, 0.7590), Zn at (0.9999, 0.2886, 0.6620), Zn at (0.0030, 0.5015, 0.8156), Zn at (0.0112, 0.5056, 0.1625), Zn at (0.1712, 0.3423, 0.8449) and Ni at (0.0000, 0.0000, 0.5642).



# 3
TlAgHg2: relaxed, PBE-GGA.

The spin magnetization is 0.000 μB per atom. The calculation puts the formation energy at 1.696 kcal/mol of atoms. The calculation puts the density of states at the Fermi level at 2.41 states/eV per cell. Its total energy is -1.382 eV per atom.

The structure belongs to space group Immm (No. 71); the cell edges are 3.359, 5.413 and 10.952 Å and the angles 90.00°, 90.00° and 90.00°. Symmetry generates all atoms from Tl at (0.000, 0.000, 0.000), Ag at (0.000, 0.000, 0.500) and Hg at (0.000, 0.500, 0.224).



# 4
Cr3Fe: relaxed, PBE-GGA.

The spin magnetization is 0.102 μB per atom. The calculation puts the formation energy at 5.660 kcal/mol of atoms. The calculation puts the density of states at the Fermi level at 5.32 states/eV per cell. Its total energy is -9.088 eV per atom.

The structure belongs to space group Pmmm (No. 47); the cell edges are 2.457, 3.657 and 5.087 Å and the angles 90.00°, 90.00° and 90.00°. Symmetry generates all atoms from Cr at (0.000, 0.000, 0.000), Cr at (0.500, 0.500, 0.257) and Fe at (0.000, 0.000, 0.500).



# 5
LaPrEuCd: relaxed, PBE-GGA.

The spin magnetization is 1.801 μB per atom. The calculation puts the formation energy at -1.413 kcal/mol of atoms. The calculation puts the density of states at the Fermi level at 16.87 states/eV per cell. Its total energy is -5.285 eV per atom.

The structure belongs to space group F-43m (No. 216); the cell edges are 8.066, 8.066 and 8.066 Å and the angles 90.00°, 90.00° and 90.00°. Symmetry generates all atoms from La at (0.000, 0.000, 0.000), Pr at (0.000, 0.000, 0.500), Eu at (0.250, 0.250, 0.250) and Cd at (0.250, 0.250, 0.750).



# 6
MgInCu2: relaxed, PBE-GGA.

The spin magnetization is 0.000 μB per atom. The calculation puts the formation energy at 5.955 kcal/mol of atoms. The calculation puts the density of states at the Fermi level at 6.02 states/eV per cell. Its total energy is -2.873 eV per atom.

The structure belongs to space group I-42d (No. 122); the cell edges are 7.325, 7.325 and 5.516 Å and the angles 90.00°, 90.00° and 90.00°. Symmetry generates all atoms from Mg at (0.000, 0.000, 0.000), In at (0.000, 0.000, 0.500) and Cu at (0.248, 0.250, 0.625).



# 7
YScCuTc: relaxed, PBE-GGA.

The spin magnetization is 0.000 μB per atom. The calculation puts the formation energy at -3.077 kcal/mol of atoms. The calculation puts the density of states at the Fermi level at 10.96 states/eV per cell. Its total energy is -6.948 eV per atom.

The structure belongs to space group F-43m (No. 216); the cell edges are 6.704, 6.704 and 6.704 Å and the angles 90.00°, 90.00° and 90.00°. Symmetry generates all atoms from Y at (0.000, 0.000, 0.000), Sc at (0.000, 0.000, 0.500), Cu at (0.250, 0.250, 0.250) and Tc at (0.250, 0.250, 0.750).



# 8
Li4Zn3Pd2: relaxed, PBE-GGA.

The spin magnetization is 0.000 μB per atom. The calculation puts the formation energy at -9.141 kcal/mol of atoms. The calculation puts the density of states at the Fermi level at 3.42 states/eV per cell. Its total energy is -2.826 eV per atom.

The structure belongs to space group C2/m (No. 12); the cell edges are 8.810, 3.929 and 8.090 Å and the angles 90.00°, 113.83° and 90.00°. Symmetry generates all atoms from Li at (0.002, 0.000, 0.336), Li at (0.167, 0.500, 0.883), Zn at (0.000, 0.000, 0.000), Zn at (0.171, 0.500, 0.556) and Pd at (0.162, 0.500, 0.219).